# 1
! Sr2TlIrO8 (PBE-GGA, relaxed); values from VASP
! E_form (uncorrected), meV/atom: -1252.5
&SYSTEM
  ibrav = 0, nat = 12, ntyp = 4
/
ATOMIC_SPECIES
Sr 87.62 Sr.upf
Tl 204.38 Tl.upf
Ir 192.22 Ir.upf
O 16.00 O.upf
CELL_PARAMETERS angstrom
-4.0619 1.1299 -1.8033
-2.1599 -2.2968 4.2826
-0.1030 6.7397 3.8195
ATOMIC_POSITIONS crystal
Sr 0.4691 0.4964 0.7521
Sr 0.5309 0.5036 0.2479
Tl 0.0000 0.0000 0.5000
Ir 0.0000 0.0000 0.0000
O 0.0639 0.7218 0.1508
O 0.5839 0.8910 0.9914
O 0.9199 0.1918 0.1966
O 0.9361 0.2782 0.8492
O 0.4161 0.1090 0.0086
O 0.0801 0.8082 0.8034
O 0.6681 0.7384 0.4983
O 0.3319 0.2616 0.5017

***

# 2
! CoMoIr2 (PBE-GGA, relaxed); values from VASP
! Excess energy over the best structure of this formula in the dataset, kJ/mol of formula units: 22
! E_form, meV/atom: -127
&SYSTEM
  ibrav = 0, nat = 4, ntyp = 3
/
ATOMIC_SPECIES
Co 58.93 Co.upf
Ir 192.22 Ir.upf
Mo 95.94 Mo.upf
CELL_PARAMETERS angstrom
-0.1221 4.6850 -0.0090
-1.8918 1.5681 3.9908
3.4427 -3.0610 -0.8619
ATOMIC_POSITIONS crystal
Co 0.2500 0.7500 0.5000
Ir 0.0000 0.0000 0.0000
Ir 0.7500 0.2500 0.5000
Mo 0.5000 0.5000 0.0000

***

# 3
! Pr2Sm3Dy6In (PBE-GGA, relaxed); values from VASP
! E_form, meV/atom: -58
&SYSTEM
  ibrav = 0, nat = 12, ntyp = 4
/
ATOMIC_SPECIES
Pr 140.91 Pr.upf
Sm 150.36 Sm.upf
Dy 162.50 Dy.upf
In 114.82 In.upf
CELL_PARAMETERS angstrom
-4.8675 0.9983 3.6193
5.5691 -0.7819 2.4824
1.6510 11.3814 -2.6649
ATOMIC_POSITIONS crystal
Pr 0.3336 0.6664 0.0000
Pr 0.6664 0.3336 0.0000
Sm 0.1672 0.8328 0.5000
Sm 0.8328 0.1672 0.5000
Sm 0.5000 0.5000 0.5000
Dy 0.9177 0.5911 0.7519
Dy 0.7560 0.7560 0.2490
Dy 0.0823 0.4089 0.2481
Dy 0.5911 0.9177 0.7519
Dy 0.2440 0.2440 0.7510
Dy 0.4089 0.0823 0.2481
In 0.0000 0.0000 0.0000

***

# 4
! HgOs3 (PBE-GGA, relaxed); values from VASP
! Excess energy over the best structure of this formula in the dataset, kJ/mol of formula units: 43
! E_form, meV/atom: 505
&SYSTEM
  ibrav = 0, nat = 4, ntyp = 2
/
ATOMIC_SPECIES
Hg 200.59 Hg.upf
Os 190.23 Os.upf
CELL_PARAMETERS angstrom
-2.7170 -0.4607 -0.4347
3.4920 -6.3265 -6.1687
-1.3971 -1.7640 1.6491
ATOMIC_POSITIONS crystal
Hg 0.0000 0.0000 0.0000
Os 0.2428 0.7284 0.2428
Os 0.5000 0.5000 0.5000
Os 0.7572 0.2716 0.7572

***

Number 1: DOS at the Fermi energy 4.01 states/eV/cell. Number 2: DOS at the Fermi energy 4.61 states/eV/cell. Number 3: DOS at the Fermi energy 15.92 states/eV/cell. Number 4: DOS at the Fermi energy 3.84 states/eV/cell.